a:
Entry from the Alexandria database: a relaxed PuPaAlZn crystal (PBE).

Computed properties:
- N(E_F) (states/eV per cell) = 33.9
- size of the total moment (Bohr magnetons per cell) = 22.3

Cell: 7.084 7.084 7.084 Å, 90.00 90.00 90.00°
Space group F-43m (No. 216)
One atom of each set of equivalent atoms:
Pu: 0.000 0.000 0.000
Pa: 0.000 0.000 0.500
Al: 0.250 0.250 0.250
Zn: 0.250 0.250 0.750


b:
Entry from the Alexandria database: a relaxed PuPaAlZn crystal (PBE).

Computed properties:
- N(E_F) (states/eV per cell) = 12.0
- size of the total moment (Bohr magnetons per cell) = 11.1

Cell: 5.481 2.965 10.622 Å, 90.00 90.00 90.00°
Space group Amm2 (No. 38)
One atom of each set of equivalent atoms:
Pu: 0.000 0.000 0.000
Pa: 0.000 0.000 0.744
Al: 0.500 0.000 0.870
Zn: 0.500 0.000 0.602


Name the most stable of them. a.


a:
Entry from the Alexandria database: a relaxed PaAl2Rh crystal (PBE).

Computed properties:
- N(E_F) (states/eV per cell) = 13.8
- size of the total moment (Bohr magnetons per cell) = 0.0

Cell: 3.0199 3.0199 27.3378 Å, 90.00 90.00 120.00°
Space group R-3m (No. 166, hexagonal axes)
One atom of each set of equivalent atoms:
Pa: 0.0000 0.0000 0.0000
Al: 0.0000 0.0000 0.2352
Rh: 0.0000 0.0000 0.5000


b:
Entry from the Alexandria database: a relaxed PaAl2Rh crystal (PBE).

Computed properties:
- N(E_F) (states/eV per cell) = 4.8
- size of the total moment (Bohr magnetons per cell) = 0.0

Cell: 3.046 3.046 7.478 Å, 90.00 90.00 90.00°
Space group P4/mmm (No. 123)
One atom of each set of equivalent atoms:
Pa: 0.000 0.000 0.000
Al: 0.500 0.500 0.305
Rh: 0.000 0.000 0.500


c:
Entry from the Alexandria database: a relaxed PaAl2Rh crystal (PBE).

Computed properties:
- N(E_F) (states/eV per cell) = 5.0
- size of the total moment (Bohr magnetons per cell) = 0.0

Cell: 4.424 7.185 5.045 Å, 90.00 90.00 90.00°
Space group Amm2 (No. 38)
One atom of each set of equivalent atoms:
Pa: 0.000 0.000 0.000
Al: 0.500 0.181 0.499
Rh: 0.000 0.000 0.500


Name the most stable of them. b.


a:
Entry from the Alexandria database: a relaxed Pa2Al3Rh crystal (PBE).

Computed properties:
- N(E_F) (states/eV per cell) = 9.2
- size of the total moment (Bohr magnetons per cell) = 0.0

Cell: 5.6264 5.6264 8.3003 Å, 90.00 90.00 120.00°
Space group P6_3/mmc (No. 194)
One atom of each set of equivalent atoms:
Pa: 0.3333 0.6667 0.0869
Al: 0.1648 0.3296 0.7500
Rh: 0.0000 0.0000 0.0000


b:
Entry from the Alexandria database: a relaxed Pa2Al3Rh crystal (PBE).

Computed properties:
- N(E_F) (states/eV per cell) = 15.8
- size of the total moment (Bohr magnetons per cell) = 0.0

Cell: 9.048 5.577 5.302 Å, 90.00 121.83 90.00°
Space group C2/m (No. 12)
One atom of each set of equivalent atoms:
Pa: 0.109 0.000 0.389
Al: 0.000 0.500 0.500
Al: 0.250 0.250 0.000
Rh: 0.000 0.500 0.000


Name the most stable of them. a.


a:
Entry from the Alexandria database: a relaxed PaAl3Rh crystal (PBE).

Computed properties:
- N(E_F) (states/eV per cell) = 17.7
- size of the total moment (Bohr magnetons per cell) = 0.0

Cell: 8.179 5.411 8.216 Å, 90.00 98.39 90.00°
Space group P2_1/c (No. 14)
One atom of each set of equivalent atoms:
Pa: 0.110 0.116 0.207
Al: 0.142 0.622 0.052
Al: 0.285 0.588 0.360
Al: 0.401 0.169 0.556
Rh: 0.443 0.643 0.657


b:
Entry from the Alexandria database: a relaxed PaAl3Rh crystal (PBE).

Computed properties:
- N(E_F) (states/eV per cell) = 13.5
- size of the total moment (Bohr magnetons per cell) = 0.0

Cell: 8.307 4.104 10.821 Å, 90.00 90.00 90.00°
Space group Pnma (No. 62)
One atom of each set of equivalent atoms:
Pa: 0.182 0.250 0.006
Al: 0.058 0.250 0.587
Al: 0.101 0.750 0.792
Al: 0.145 0.750 0.214
Rh: 0.117 0.250 0.357


Name the most stable of them. b.